Compound: La2Pr4Te3N2
Source: Alexandria via LeMat-Bulk
Functional: PBE
Structure: relaxed

a b c (Å): 13.7764 13.7764 13.7764
angles (deg): 159.84 159.84 28.67
Atoms (fractional coordinates):
La: 0.1923 0.1923 0.0000
La: 0.8077 0.8077 0.0000
Pr: 0.0806 0.5806 0.5000
Pr: 0.4194 0.9194 0.5000
Pr: 0.5806 0.0806 0.5000
Pr: 0.9194 0.4194 0.5000
Te: 0.3242 0.3242 0.0000
Te: 0.5000 0.5000 0.0000
Te: 0.6758 0.6758 0.0000
N: 0.1084 0.1084 0.0000
N: 0.8916 0.8916 0.0000

Calculated values
Formation energy without anion corrections   -1.235 eV/atom
Space-group type   I4/mmm
Spin magnetization   0.0 Bohr magnetons per cell